# Hf3NbS8

An optimized crystal structure of Hf3NbS8 (GGA-PBE, Alexandria).

As for the calculated total energy: -7.48 eV/atom. Its density is 4.878 g cm⁻³. The density of states at the Fermi level comes out at 0.341 states/eV per atom.

POSCAR file:
```
Hf3NbS8
1.0
7.155 0.000 0.000
-3.577 5.076 -3.559
0.000 0.429 7.994
S Hf Nb
8 3 1
Cartesian
3.577 2.540 0.025
3.577 2.998 4.395
1.818 5.087 -1.768
0.000 2.965 4.410
0.000 2.508 0.040
1.759 0.418 6.203
-1.818 5.087 -1.768
5.395 0.418 6.203
-1.789 2.538 -1.779
1.789 2.538 -1.779
3.577 0.000 0.000
0.000 0.000 0.000
```



# HfNb3S

An optimized crystal structure of HfNb3S (GGA-PBE, Alexandria).

As for the calculated total energy: -7.07 eV/atom. Its offset from the most stable computed form is 1.850 eV per atom. Its density is 6.714 g cm⁻³. The density of states at the Fermi level comes out at 1.147 states/eV per atom.

POSCAR file:
```
HfNb3S
1.0
-1.017 -4.779 0.771
4.565 -0.684 1.777
-1.611 1.077 4.551
Nb S Hf
3 1 1
Cartesian
-0.508 -2.389 0.385
-0.805 0.538 2.276
2.282 -0.342 0.889
0.969 -2.193 3.550
0.000 0.000 0.000
```



# HfNb3S

An optimized crystal structure of HfNb3S (GGA-PBE, Alexandria).

As for the calculated total energy: -8.92 eV/atom. Its offset from the most stable computed form is 0.000 eV per atom. Its density is 8.245 g cm⁻³. The density of states at the Fermi level comes out at 1.005 states/eV per atom.

POSCAR file:
```
HfNb3S
1.0
-1.314 3.835 2.214
-0.482 -2.420 3.905
4.402 0.880 1.088
Nb Hf S
3 1 1
Cartesian
-0.657 1.917 1.107
-0.241 -1.210 1.952
2.201 0.440 0.544
1.303 1.148 3.604
0.000 0.000 0.000
```



# HfNbS4

An optimized crystal structure of HfNbS4 (GGA-PBE, Alexandria).

As for the calculated total energy: -7.20 eV/atom. Its density is 5.237 g cm⁻³. The density of states at the Fermi level comes out at 0.530 states/eV per atom.

POSCAR file:
```
HfNbS4
1.0
-5.299 -0.802 -1.840
1.611 -5.580 -2.210
-1.736 -3.000 6.308
S Nb Hf
8 2 2
Cartesian
-2.329 -4.699 4.332
-3.575 -5.453 -0.476
-4.786 -3.473 2.158
-3.886 -1.968 -0.985
-0.233 -5.158 -1.497
-1.424 -3.194 1.191
-4.406 -6.948 2.691
-1.069 -6.653 1.669
0.620 -3.110 -0.431
-2.897 -5.011 1.803
-3.325 -1.568 1.536
-1.544 -2.667 5.610
```



Copy entry 1 word for word.
# Hf3NbS8

An optimized crystal structure of Hf3NbS8 (GGA-PBE, Alexandria).

As for the calculated total energy: -7.48 eV/atom. Its density is 4.878 g cm⁻³. The density of states at the Fermi level comes out at 0.341 states/eV per atom.

POSCAR file:
```
Hf3NbS8
1.0
7.155 0.000 0.000
-3.577 5.076 -3.559
0.000 0.429 7.994
S Hf Nb
8 3 1
Cartesian
3.577 2.540 0.025
3.577 2.998 4.395
1.818 5.087 -1.768
0.000 2.965 4.410
0.000 2.508 0.040
1.759 0.418 6.203
-1.818 5.087 -1.768
5.395 0.418 6.203
-1.789 2.538 -1.779
1.789 2.538 -1.779
3.577 0.000 0.000
0.000 0.000 0.000
```